# ZnMo2W SCAN single point on PBEsol structure
# ΔH_f (0 K) = 0.301 eV/atom
# Fermi-level density of states = 4.34 states/eV/cell
# Crystal system = monoclinic
data_ZnMo2W
_space_group_name_H-M_alt 'C 1 2/m 1'
_space_group_IT_number 12
_cell_length_a 9.189
_cell_length_b 2.616
_cell_length_c 5.057
_cell_angle_alpha 90.00
_cell_angle_beta 95.55
_cell_angle_gamma 90.00
loop_
_space_group_symop_operation_xyz
'x,y,z'
'-x,-y,-z'
'-x,y,-z'
'x,-y,z'
'x+1/2,y+1/2,z'
'-x+1/2,-y+1/2,-z'
'-x+1/2,y+1/2,-z'
'x+1/2,-y+1/2,z'
loop_
_atom_site_label
_atom_site_fract_x
_atom_site_fract_y
_atom_site_fract_z
Zn1 0.000 0.000 0.000
Mo1 0.246 0.500 0.244
W1 0.000 0.500 0.500

---

# Zn3MoW SCAN single point on PBEsol structure
# ΔH_f (0 K) = 1.911 eV/atom
# Fermi-level density of states = 1.90 states/eV/cell
# Crystal system = cubic
data_Zn3MoW
_space_group_name_H-M_alt 'P m -3 m'
_space_group_IT_number 221
_space_group_name_Hall '-P 4 2 3'
_cell_length_a 4.606
_cell_length_b 4.606
_cell_length_c 4.606
_cell_angle_alpha 90.00
_cell_angle_beta 90.00
_cell_angle_gamma 90.00
loop_
_atom_site_label
_atom_site_fract_x
_atom_site_fract_y
_atom_site_fract_z
Zn1 0.000 0.000 0.500
Mo1 0.000 0.000 0.000
W1 0.500 0.500 0.500

---

# Zn2MoW SCAN single point on PBEsol structure
# ΔH_f (0 K) = 0.192 eV/atom
# Fermi-level density of states = 3.36 states/eV/cell
# Crystal system = orthorhombic
data_Zn2MoW
_space_group_name_H-M_alt 'C m m m'
_space_group_IT_number 65
_space_group_name_Hall '-C 2 2'
_cell_length_a 3.360
_cell_length_b 4.064
_cell_length_c 8.500
_cell_angle_alpha 90.00
_cell_angle_beta 90.00
_cell_angle_gamma 90.00
loop_
_atom_site_label
_atom_site_fract_x
_atom_site_fract_y
_atom_site_fract_z
Zn1 0.000 0.000 0.249
Mo1 0.000 0.500 0.000
W1 0.000 0.500 0.500